Here is a relaxed In2TcW crystal from Alexandria via LeMat-Bulk. Energies are from GGA-PBE.

Cell and atoms, written as POSCAR:
```
In2TcW
1.0
1.625 -2.420 0.000
1.625 2.420 0.000
0.000 0.000 9.242
In Tc W
2 1 1
Direct
0.000 0.000 0.243
0.000 0.000 0.757
0.500 0.500 0.000
0.500 0.500 0.500
```

Values from the calculation:
- Polymorph energy (0 for the lowest one): 0.4338 eV per atom
- Total magnetic moment: 0.0 μB/f.u.
- Uncorrected energy: -26.39 eV per cell
- DFT formation energy: 0.60 eV/atom